(1)
## Ac2Si3Ni (PBE-GGA)

Data for an optimized crystal structure of Ac2Si3Ni.

a b c (Å): 8.272 9.229 14.302
angles (deg): 90.00 90.00 90.00
Space group Fmmm (No. 69)
One atom of each set of equivalent atoms:
Ac (0.000, 0.247, 0.000) x8
Ac (0.250, 0.250, 0.250) x8
Si (0.000, 0.000, 0.170) x8
Si (0.244, 0.000, 0.415) x16
Ni (0.000, 0.000, 0.333) x8

Calculated values
DFT total energy (eV per atom): -5.73


(2)
## AcSmNi (PBE-GGA)

Data for an optimized crystal structure of AcSmNi.

a b c (Å): 7.129 7.129 7.129
angles (deg): 90.00 90.00 90.00
Space group F-43m (No. 216)
One atom of each set of equivalent atoms:
Ac (0.000, 0.000, 0.000) x4
Sm (0.000, 0.000, 0.500) x4
Ni (0.250, 0.250, 0.250) x4

Calculated values
Energy of formation from the pure elements (eV/atom): -0.0050
DFT total energy (eV per atom): -4.80
Relative energy among the computed polymorphs (meV/atom): 0


(3)
## Ac3Ni4Sn4 (PBE-GGA)

Data for an optimized crystal structure of Ac3Ni4Sn4.

a b c (Å): 25.832 4.481 4.679
angles (deg): 90.00 98.15 90.00
Space group C2/m (No. 12)
One atom of each set of equivalent atoms:
Ac (0.000, 0.000, 0.000) x2
Ac (0.154, 0.500, 0.126) x4
Ni (0.104, 0.000, 0.564) x4
Ni (0.248, 0.000, 0.173) x4
Sn (0.057, 0.500, 0.548) x4
Sn (0.205, 0.000, 0.649) x4

Calculated values
DFT total energy (eV per atom): -5.14


(4)
## Ac12Ni6Sn (PBE-GGA)

Data for an optimized crystal structure of Ac12Ni6Sn.

a b c (Å): 10.686 10.686 10.686
angles (deg): 90.00 90.00 90.00
Space group Im-3 (No. 204)
One atom of each set of equivalent atoms:
Ac (0.000, 0.312, 0.182) x24
Ni (0.000, 0.118, 0.500) x12
Sn (0.000, 0.000, 0.000) x2

Calculated values
DFT total energy (eV per atom): -4.84


(5)
## SrAcNi (PBE-GGA)

Data for an optimized crystal structure of SrAcNi.

a b c (Å): 7.327 7.327 7.327
angles (deg): 90.00 90.00 90.00
Space group F-43m (No. 216)
One atom of each set of equivalent atoms:
Sr (0.000, 0.000, 0.000) x4
Ac (0.000, 0.000, 0.500) x4
Ni (0.250, 0.250, 0.250) x4

Calculated values
DFT total energy (eV per atom): -3.73
Relative energy among the computed polymorphs (meV/atom): 0


(6)
## SrAcNi (PBE-GGA)

Data for an optimized crystal structure of SrAcNi.

a b c (Å): 7.287 7.287 7.287
angles (deg): 90.00 90.00 90.00
Space group F-43m (No. 216)
One atom of each set of equivalent atoms:
Sr (0.000, 0.000, 0.000) x4
Ac (0.250, 0.250, 0.750) x4
Ni (0.000, 0.000, 0.500) x4

Calculated values
DFT total energy (eV per atom): -3.00
Relative energy among the computed polymorphs (meV/atom): 727


(7)
## AcNi2Te2 (PBE-GGA)

Data for an optimized crystal structure of AcNi2Te2.

a b c (Å): 4.296 4.296 12.191
angles (deg): 90.00 90.00 90.00
Space group I4/mmm (No. 139)
One atom of each set of equivalent atoms:
Ac (0.000, 0.000, 0.000) x2
Ni (0.000, 0.500, 0.250) x4
Te (0.000, 0.000, 0.360) x4

Calculated values
DFT total energy (eV per atom): -4.96


(8)
## AcTmNi (PBE-GGA)

Data for an optimized crystal structure of AcTmNi.

a b c (Å): 7.034 7.034 7.034
angles (deg): 90.00 90.00 90.00
Space group F-43m (No. 216)
One atom of each set of equivalent atoms:
Ac (0.000, 0.000, 0.000) x4
Tm (0.000, 0.000, 0.500) x4
Ni (0.250, 0.250, 0.250) x4

Calculated values
Energy of formation from the pure elements (eV/atom): -0.0437
DFT total energy (eV per atom): -4.76
Relative energy among the computed polymorphs (meV/atom): 0


(9)
## AcUNi (PBE-GGA)

Data for an optimized crystal structure of AcUNi.

a b c (Å): 6.779 6.779 6.779
angles (deg): 90.00 90.00 90.00
Space group F-43m (No. 216)
One atom of each set of equivalent atoms:
Ac (0.000, 0.000, 0.000) x4
U (0.000, 0.000, 0.500) x4
Ni (0.250, 0.250, 0.750) x4

Calculated values
Energy of formation from the pure elements (eV/atom): 0.5609
DFT total energy (eV per atom): -6.43
Relative energy among the computed polymorphs (meV/atom): 0


(10)
## AcYNi (PBE-GGA)

Data for an optimized crystal structure of AcYNi.

a b c (Å): 7.051 7.051 7.051
angles (deg): 90.00 90.00 90.00
Space group F-43m (No. 216)
One atom of each set of equivalent atoms:
Ac (0.000, 0.000, 0.000) x4
Y (0.000, 0.000, 0.500) x4
Ni (0.250, 0.250, 0.250) x4

Calculated values
Energy of formation from the pure elements (eV/atom): -0.0165
DFT total energy (eV per atom): -5.40


(11)
## AcZrNi (PBE-GGA)

Data for an optimized crystal structure of AcZrNi.

a b c (Å): 6.804 6.804 6.804
angles (deg): 90.00 90.00 90.00
Space group F-43m (No. 216)
One atom of each set of equivalent atoms:
Ac (0.000, 0.000, 0.000) x4
Zr (0.000, 0.000, 0.500) x4
Ni (0.250, 0.250, 0.250) x4

Calculated values
Energy of formation from the pure elements (eV/atom): 0.2815
DFT total energy (eV per atom): -5.79
Relative energy among the computed polymorphs (meV/atom): 0


(12)
## Ac2Np (PBE-GGA)

Data for an optimized crystal structure of Ac2Np.

a b c (Å): 13.274 13.274 13.274
angles (deg): 90.00 90.00 90.00
Space group Fd-3m (No. 227, origin choice 2)
One atom of each set of equivalent atoms:
Ac (0.000, 0.000, 0.000) x16
Np (0.125, 0.125, 0.125) x8

Calculated values
Energy of formation from the pure elements (eV/atom): 2.3796
DFT total energy (eV per atom): -4.61


Look up the DFT total energy of the fourth one.
-4.84 eV per atom


Which of these has the lowest DFT total energy?
AcUNi